Material: PmNdPu
Method: DFT, GGA-PBE
State: optimized geometry

Calculated values
formation enthalpy at 0 K: 476 kJ/mol of formula units
symmetry: F-43m, No. 216

abc: 5.3606 5.3606 5.3606
angles: 60.00 60.00 60.00
Last column: nearest neighbours and their distance in Å.
Element x y z (fractional)
Pm  0.0000  0.0000  0.0000  4 Nd 3.28, 4 Pu 3.28
Nd  0.7500  0.7500  0.7500  4 Pm 3.28
Pu  0.2500  0.2500  0.2500  4 Pm 3.28

Material: RbPmNd
Method: DFT, GGA-PBE
State: optimized geometry

Calculated values
symmetry: F-43m, No. 216

abc: 6.0896 6.0896 6.0896
angles: 60.00 60.00 60.00
Last column: nearest neighbours and their distance in Å.
Element x y z (fractional)
Rb  0.0000  0.0000  0.0000  4 Nd 3.73
Pm  0.5000  0.5000  0.5000  4 Nd 3.73
Nd  0.7500  0.7500  0.7500  4 Rb 3.73, 4 Pm 3.73

Material: PmNd5S6
Method: DFT, GGA-PBE
State: optimized geometry

Calculated values
symmetry: C2/m, No. 12

abc: 7.0424 7.0424 7.0228
angles: 99.63 99.63 120.15
Last column: nearest neighbours and their distance in Å.
Element x y z (fractional)
Pm  0.0000  0.0000  0.0000  6 S 2.85-2.86
Nd  0.1674  0.8326  0.5000  6 S 2.87-2.88
Nd  0.3331  0.6669  0.0000  6 S 2.87
Nd  0.5000  0.5000  0.5000  6 S 2.87-2.88
Nd  0.6669  0.3331  0.0000  6 S 2.87
Nd  0.8326  0.1674  0.5000  6 S 2.87-2.88
S  0.0830  0.4144  0.2487  1 Pm 2.85, 5 Nd 2.87-2.88
S  0.2485  0.2485  0.7507  1 Pm 2.86, 5 Nd 2.87-2.88
S  0.4144  0.0830  0.2487  1 Pm 2.85, 5 Nd 2.87-2.88
S  0.5856  0.9170  0.7513  1 Pm 2.85, 5 Nd 2.87-2.88
S  0.7515  0.7515  0.2493  1 Pm 2.86, 5 Nd 2.87-2.88
S  0.9170  0.5856  0.7513  1 Pm 2.85, 5 Nd 2.87-2.88

Material: Pm2NdS3
Method: DFT, GGA-PBE
State: optimized geometry

Calculated values
symmetry: Immm, No. 71

abc: 6.9931 6.9931 6.9931
angles: 146.35 131.77 60.09
Last column: nearest neighbours and their distance in Å.
Element x y z (fractional)
Pm  0.1658  0.1658  0.0000  6 S 2.85-2.86
Pm  0.8342  0.8342  0.0000  6 S 2.85-2.86
Nd  0.5000  0.5000  0.0000  6 S 2.86-2.87
S  0.0000  0.5000  0.5000  4 Pm 2.85, 2 Nd 2.86
S  0.3315  0.8315  0.5000  4 Pm 2.85-2.86, 2 Nd 2.87
S  0.6685  0.1685  0.5000  4 Pm 2.85-2.86, 2 Nd 2.87

Material: PmNdSn
Method: DFT, GGA-PBE
State: optimized geometry

Calculated values
symmetry: F-43m, No. 216

abc: 5.2870 5.2870 5.2870
angles: 60.00 60.00 60.00
Last column: nearest neighbours and their distance in Å.
Element x y z (fractional)
Pm  0.0000  0.0000  0.0000  4 Sn 3.24
Nd  0.5000  0.5000  0.5000  4 Sn 3.24
Sn  0.7500  0.7500  0.7500  4 Nd 3.24, 4 Pm 3.24

Material: PmNdSn2
Method: DFT, GGA-PBE
State: optimized geometry

Calculated values
symmetry: Amm2, No. 38

abc: 4.3806 6.3025 6.3025
angles: 43.31 90.00 90.00
Last column: nearest neighbours and their distance in Å.
Element x y z (fractional)
Pm  0.0000  0.0000  0.0000  7 Sn 3.22-3.52
Nd  0.5000  0.2712  0.2712  7 Sn 3.22-3.52
Sn  0.0000  0.7251  0.7251  2 Sn 3.04, 1 Pm 3.22, 4 Nd 3.24
Sn  0.5000  0.5457  0.5457  2 Sn 3.04, 1 Nd 3.22, 4 Pm 3.24

Material: TbPmNd
Method: DFT, GGA-PBE
State: optimized geometry

Calculated values
formation enthalpy at 0 K: 210 kJ/mol of formula units
symmetry: F-43m, No. 216

abc: 5.5119 5.5119 5.5119
angles: 60.00 60.00 60.00
Last column: nearest neighbours and their distance in Å.
Element x y z (fractional)
Tb  0.0000  0.0000  0.0000  4 Pm 3.38
Pm  0.7500  0.7500  0.7500  4 Tb 3.38, 4 Nd 3.38
Nd  0.5000  0.5000  0.5000  4 Pm 3.38

Material: PmNdTc
Method: DFT, GGA-PBE
State: optimized geometry

Calculated values
formation enthalpy at 0 K: 274 kJ/mol of formula units
symmetry: F-43m, No. 216

abc: 4.8473 4.8473 4.8473
angles: 60.00 60.00 60.00
Last column: nearest neighbours and their distance in Å.
Element x y z (fractional)
Pm  0.0000  0.0000  0.0000  4 Nd 2.97
Nd  0.2500  0.2500  0.2500  4 Tc 2.97, 4 Pm 2.97
Tc  0.5000  0.5000  0.5000  4 Nd 2.97

Material: PmNd5Te6
Method: DFT, GGA-PBE
State: optimized geometry

Calculated values
symmetry: C2/m, No. 12

abc: 7.7953 7.7953 7.7621
angles: 99.65 99.65 120.19
Last column: nearest neighbours and their distance in Å.
Element x y z (fractional)
Pm  0.0000  0.0000  0.0000  6 Te 3.16
Nd  0.1684  0.8316  0.5000  6 Te 3.17-3.18
Nd  0.3333  0.6667  0.0000  6 Te 3.17-3.18
Nd  0.5000  0.5000  0.5000  6 Te 3.17-3.19
Nd  0.6667  0.3333  0.0000  6 Te 3.17-3.18
Nd  0.8316  0.1684  0.5000  6 Te 3.17-3.18
Te  0.0829  0.4143  0.2486  1 Pm 3.16, 5 Nd 3.17-3.18
Te  0.2480  0.2480  0.7498  1 Pm 3.16, 5 Nd 3.18-3.19
Te  0.4143  0.0829  0.2486  1 Pm 3.16, 5 Nd 3.17-3.18
Te  0.5857  0.9171  0.7514  1 Pm 3.16, 5 Nd 3.17-3.18
Te  0.7520  0.7520  0.2502  1 Pm 3.16, 5 Nd 3.18-3.19
Te  0.9171  0.5857  0.7514  1 Pm 3.16, 5 Nd 3.17-3.18

Material: PmNdTe2
Method: DFT, GGA-PBE
State: optimized geometry

Calculated values
symmetry: P4/mmm, No. 123

abc: 4.4772 4.4772 6.3384
angles: 90.00 90.00 90.00
Last column: nearest neighbours and their distance in Å.
Element x y z (fractional)
Pm  0.0000  0.0000  0.0000  6 Te 3.17
Nd  0.5000  0.5000  0.5000  6 Te 3.17
Te  0.0000  0.0000  0.5000  4 Nd 3.17, 2 Pm 3.17
Te  0.5000  0.5000  0.0000  4 Pm 3.17, 2 Nd 3.17

Material: PmNdTe
Method: DFT, GGA-PBE
State: optimized geometry

Calculated values
symmetry: F-43m, No. 216

abc: 5.1999 5.1999 5.1999
angles: 60.00 60.00 60.00
Last column: nearest neighbours and their distance in Å.
Element x y z (fractional)
Pm  0.0000  0.0000  0.0000  4 Te 3.18
Nd  0.5000  0.5000  0.5000  4 Te 3.18
Te  0.7500  0.7500  0.7500  4 Nd 3.18, 4 Pm 3.18

Material: PmNdTh
Method: DFT, GGA-PBE
State: optimized geometry

Calculated values
formation enthalpy at 0 K: 230 kJ/mol of formula units
symmetry: F-43m, No. 216

abc: 5.4465 5.4465 5.4465
angles: 60.00 60.00 60.00
Last column: nearest neighbours and their distance in Å.
Element x y z (fractional)
Pm  0.0000  0.0000  0.0000  4 Nd 3.34, 4 Th 3.34
Nd  0.7500  0.7500  0.7500  4 Pm 3.34
Th  0.2500  0.2500  0.2500  4 Pm 3.34

Material: PmNdTl2
Method: DFT, GGA-PBE
State: optimized geometry

Calculated values
symmetry: P4/mmm, No. 123

abc: 3.8822 3.8822 7.7475
angles: 90.00 90.00 90.00
Last column: nearest neighbours and their distance in Å.
Element x y z (fractional)
Pm  0.0000  0.0000  0.0000  8 Tl 3.35
Nd  0.0000  0.0000  0.5000  8 Tl 3.37
Tl  0.5000  0.5000  0.2472  4 Pm 3.35, 4 Nd 3.37
Tl  0.5000  0.5000  0.7528  4 Pm 3.35, 4 Nd 3.37

Material: PmNdTm
Method: DFT, GGA-PBE
State: optimized geometry

Calculated values
formation enthalpy at 0 K: 198 kJ/mol of formula units
symmetry: F-43m, No. 216

abc: 5.4690 5.4690 5.4690
angles: 60.00 60.00 60.00
Last column: nearest neighbours and their distance in Å.
Element x y z (fractional)
Pm  0.0000  0.0000  0.0000  4 Tm 3.35
Nd  0.5000  0.5000  0.5000  4 Tm 3.35
Tm  0.7500  0.7500  0.7500  4 Nd 3.35, 4 Pm 3.35

Material: PmNdW
Method: DFT, GGA-PBE
State: optimized geometry

Calculated values
formation enthalpy at 0 K: 244 kJ/mol of formula units
symmetry: F-43m, No. 216

abc: 4.9635 4.9635 4.9635
angles: 60.00 60.00 60.00
Last column: nearest neighbours and their distance in Å.
Element x y z (fractional)
Pm  0.0000  0.0000  0.0000  4 W 3.04
Nd  0.5000  0.5000  0.5000  4 W 3.04
W  0.7500  0.7500  0.7500  4 Nd 3.04, 4 Pm 3.04

Size of the total moment: 0.4, 3.7, 0.0, 0.0, 0.0, 0.0, 0.1, 0.6, 0.0, 0.0, 0.5, 1.3, 0.0, 0.0, 0.0 (μB per formula unit)
Total DFT energy (no corrections): -6.235, -2.306, -6.473, -6.473, -4.944, -5.168, -3.986, -5.678, -5.373, -5.365, -4.894, -4.846, -3.951, -3.977, -6.647 (eV/atom)